Compound: ScCdIn2Cl6
Source: OQMD via LeMat-Bulk
Functional: PBE
Structure: optimized geometry

Computed properties:
Size of the total moment, μB/atom: 0.007
Final energy, eV per cell: -35.76
Volume, Å³/cell: 294.6

Unit cell a=7.469 b=7.469 c=7.469 alpha=60.00 beta=60.00 gamma=60.00
Element x y z (fractional)
Cd  0.000  0.000  0.000
Cl  0.736  0.264  0.264
Cl  0.264  0.736  0.264
Cl  0.736  0.736  0.264
Cl  0.264  0.736  0.736
Cl  0.264  0.264  0.736
Cl  0.736  0.264  0.736
In  0.250  0.250  0.250
In  0.750  0.750  0.750
Sc  0.500  0.500  0.500